DFT (PBEsol) results for a relaxed BaFeHg crystal.

Cell: 6.9129 6.9129 6.9129 Å, 90.00 90.00 90.00°
Space group F-43m (No. 216)
Inequivalent atoms, fractional coordinates:
Ba: 0.0000 0.0000 0.0000 [4 per cell]
Fe: 0.2500 0.2500 0.7500 [4 per cell]
Hg: 0.0000 0.0000 0.5000 [4 per cell]

Results
* excess energy over the best structure of this formula in the dataset: 190 meV per atom
* DOS at the Fermi energy: 26.2 states/eV/cell
* total magnetic moment: 2.2 μB per formula unit
* ΔE_f: 1.596 eV per formula unit

=====

DFT (PBEsol) results for a relaxed CoAu2 crystal.

Cell: 4.5263 4.5263 2.6452 Å, 90.00 90.00 120.00°
Space group P6/mmm (No. 191)
Inequivalent atoms, fractional coordinates:
Co: 0.0000 0.0000 0.0000 [1 per cell]
Au: 0.3333 0.6667 0.5000 [2 per cell]

Results
* DOS at the Fermi energy: 5.3 states/eV/cell
* total magnetic moment: 1.9 μB per formula unit
* ΔE_f: 1.234 eV per formula unit

=====

DFT (PBEsol) results for a relaxed HfTaFeIr2 crystal.

Cell: 4.6866 4.6866 4.8402 Å, 90.00 90.00 90.00°
Space group P4/mmm (No. 123)
Inequivalent atoms, fractional coordinates:
Hf: 0.0000 0.0000 0.0000 [1 per cell]
Ta: 0.0000 0.0000 0.5000 [1 per cell]
Fe: 0.5000 0.5000 0.5000 [1 per cell]
Ir: 0.0000 0.5000 0.0000 [2 per cell]

Results
* DOS at the Fermi energy: 5.6 states/eV/cell
* total magnetic moment: 2.9 μB per formula unit
* ΔE_f: 9.963 eV per formula unit

=====

DFT (PBEsol) results for a relaxed Ta5Mo3 crystal.

Cell: 2.8203 8.9513 5.3341 Å, 90.00 99.25 90.00°
Space group P2/m (No. 10)
Inequivalent atoms, fractional coordinates:
Ta: 0.0000 0.0000 0.0000 [1 per cell]
Ta: 0.2562 0.2548 0.7479 [4 per cell]
Mo: 0.0000 0.5000 0.0000 [1 per cell]
Mo: 0.5000 0.0000 0.5000 [1 per cell]
Mo: 0.5000 0.5000 0.5000 [1 per cell]

Results
* excess energy over the best structure of this formula in the dataset: 54 meV per atom
* DOS at the Fermi energy: 7.6 states/eV/cell
* total magnetic moment: 0.0 μB per formula unit
* ΔE_f: -0.624 eV per formula unit

=====

DFT (PBEsol) results for a relaxed Dy2CdPd2 crystal.

Cell: 7.5659 7.5659 3.6646 Å, 90.00 90.00 90.00°
Space group P4/mbm (No. 127)
Inequivalent atoms, fractional coordinates:
Dy: 0.1721 0.3279 0.0000 [4 per cell]
Cd: 0.0000 0.0000 0.5000 [2 per cell]
Pd: 0.1289 0.6289 0.5000 [4 per cell]

Results
* DOS at the Fermi energy: 6.3 states/eV/cell
* total magnetic moment: 0.0 μB per formula unit
* ΔE_f: -3.989 eV per formula unit

=====

DFT (PBEsol) results for a relaxed In2IrRu crystal.

Cell: 10.2230 2.9492 4.7751 Å, 90.00 112.23 90.00°
Space group Cm (No. 8)
Inequivalent atoms, fractional coordinates:
In: 0.0000 0.0000 0.0000 [2 per cell]
In: 0.2180 0.0000 0.6001 [2 per cell]
Ir: 0.2544 0.5000 0.1154 [2 per cell]
Ru: 0.4669 0.0000 0.4913 [2 per cell]

Results
* DOS at the Fermi energy: 4.1 states/eV/cell
* total magnetic moment: 0.0 μB per formula unit
* ΔE_f: 0.168 eV per formula unit

=====

DFT (PBEsol) results for a relaxed CdPbCl crystal.

Cell: 5.0793 5.0793 3.4048 Å, 90.00 90.00 120.00°
Space group P3m1 (No. 156)
Inequivalent atoms, fractional coordinates:
Cd: 0.0000 0.0000 0.0000 [1 per cell]
Pb: 0.6667 0.3333 0.4447 [1 per cell]
Cl: 0.3333 0.6667 0.6124 [1 per cell]

Results
* energy relative to the elements, uncorrected: -0.24 eV/atom
* DOS at the Fermi energy: 0.9 states/eV/cell
* total magnetic moment: 0.0 μB per formula unit

=====

DFT (PBEsol) results for a relaxed LiYCd crystal.

Cell: 4.9043 4.9043 3.1987 Å, 90.00 90.00 120.00°
Space group P-6m2 (No. 187)
Inequivalent atoms, fractional coordinates:
Li: 0.0000 0.0000 0.0000 [1 per cell]
Y: 0.6667 0.3333 0.5000 [1 per cell]
Cd: 0.3333 0.6667 0.0000 [1 per cell]

Results
* excess energy over the best structure of this formula in the dataset: 0 meV per atom
* DOS at the Fermi energy: 1.5 states/eV/cell
* total magnetic moment: 0.0 μB per formula unit
* ΔE_f: -0.570 eV per formula unit

=====

DFT (PBEsol) results for a relaxed ReHgCl crystal.

Cell: 2.9146 2.9146 7.5438 Å, 90.00 90.00 120.00°
Space group P3m1 (No. 156)
Inequivalent atoms, fractional coordinates:
Re: 0.0000 0.0000 0.0000 [1 per cell]
Hg: 0.3333 0.6667 0.3195 [1 per cell]
Cl: 0.6667 0.3333 0.7665 [1 per cell]

Results
* energy relative to the elements, uncorrected: 0.49 eV/atom
* DOS at the Fermi energy: 1.5 states/eV/cell
* total magnetic moment: 0.0 μB per formula unit

=====

DFT (PBEsol) results for a relaxed BaSi2Rh crystal.

Cell: 3.2394 3.2394 7.3499 Å, 90.00 90.00 90.00°
Space group P4mm (No. 99)
Inequivalent atoms, fractional coordinates:
Ba: 0.0000 0.0000 0.0000 [1 per cell]
Si: 0.0000 0.0000 0.4845 [1 per cell]
Si: 0.5000 0.5000 0.6794 [1 per cell]
Rh: 0.5000 0.5000 0.3543 [1 per cell]

Results
* energy relative to the elements, uncorrected: -0.26 eV/atom
* DOS at the Fermi energy: 2.1 states/eV/cell
* total magnetic moment: 0.0 μB per formula unit

=====

DFT (PBEsol) results for a relaxed CeCoSi2 crystal.

Cell: 3.9947 16.3041 3.9827 Å, 90.00 90.00 90.00°
Space group Cmcm (No. 63)
Inequivalent atoms, fractional coordinates:
Ce: 0.0000 0.1091 0.2500 [4 per cell]
Co: 0.0000 0.3220 0.2500 [4 per cell]
Si: 0.0000 0.2497 0.7500 [4 per cell]
Si: 0.0000 0.4592 0.2500 [4 per cell]

Results
* energy relative to the elements, uncorrected: -0.83 eV/atom
* DOS at the Fermi energy: 12.9 states/eV/cell
* total magnetic moment: 0.0 μB per formula unit

=====

DFT (PBEsol) results for a relaxed Sr10Al2ClF25 crystal.

Cell: 16.3164 16.3164 16.3164 Å, 90.00 90.00 90.00°
Space group Fd-3m (No. 227, origin choice 2)
Inequivalent atoms, fractional coordinates:
Sr: 0.0395 0.0395 0.2105 [32 per cell]
Sr: 0.0691 0.3750 0.8750 [48 per cell]
Al: 0.0000 0.0000 0.0000 [16 per cell]
Cl: 0.1250 0.1250 0.6250 [8 per cell]
F: 0.0215 0.0215 0.3575 [96 per cell]
F: 0.0380 0.3228 0.3228 [96 per cell]
F: 0.1250 0.1250 0.1250 [8 per cell]

Results
* energy relative to the elements, uncorrected: -3.84 eV/atom
* DOS at the Fermi energy: 0.0 states/eV/cell
* total magnetic moment: 0.2 μB per formula unit

=====

DFT (PBEsol) results for a relaxed TlHg3 crystal.

Cell: 3.2734 10.7061 5.6759 Å, 90.00 90.00 90.00°
Space group Imm2 (No. 44)
Inequivalent atoms, fractional coordinates:
Tl: 0.0000 0.0000 0.0000 [2 per cell]
Hg: 0.0000 0.2420 0.6358 [4 per cell]
Hg: 0.0000 0.5000 0.9923 [2 per cell]

Results
* DOS at the Fermi energy: 2.4 states/eV/cell
* total magnetic moment: 0.0 μB per formula unit
* ΔE_f: -0.056 eV per formula unit

=====

DFT (PBEsol) results for a relaxed TiH9S2O12 crystal.

Cell: 9.7138 18.1751 5.4453 Å, 90.00 90.00 90.00°
Space group Pnma (No. 62)
Inequivalent atoms, fractional coordinates:
Ti: 0.0000 0.0000 0.0000 [4 per cell]
H: 0.0053 0.2500 0.0660 [4 per cell]
H: 0.0765 0.1050 0.3274 [8 per cell]
H: 0.0878 0.6003 0.6435 [8 per cell]
H: 0.1658 0.7047 0.9419 [8 per cell]
H: 0.1896 0.2054 0.0048 [8 per cell]
S: 0.2370 0.0924 0.7127 [8 per cell]
O: 0.0095 0.5879 0.7551 [8 per cell]
O: 0.0940 0.0661 0.7640 [8 per cell]
O: 0.1110 0.7500 0.8976 [4 per cell]
O: 0.1361 0.2500 0.0548 [4 per cell]
O: 0.1770 0.5254 0.1728 [8 per cell]
O: 0.2091 0.6343 0.4234 [8 per cell]
O: 0.2277 0.1376 0.4882 [8 per cell]

Results
* DOS at the Fermi energy: 11.5 states/eV/cell
* total magnetic moment: 1.0 μB per formula unit

=====

DFT (PBEsol) results for a relaxed RbPtCl2 crystal.

Cell: 7.0322 7.0322 7.0322 Å, 90.00 90.00 90.00°
Space group Fm-3m (No. 225)
Inequivalent atoms, fractional coordinates:
Rb: 0.0000 0.0000 0.0000 [4 per cell]
Pt: 0.0000 0.0000 0.5000 [4 per cell]
Cl: 0.2500 0.2500 0.2500 [8 per cell]

Results
* energy relative to the elements, uncorrected: -0.13 eV/atom
* DOS at the Fermi energy: 17.6 states/eV/cell
* total magnetic moment: 1.0 μB per formula unit

=====

DFT (PBEsol) results for a relaxed Eu6WO12 crystal.

Cell: 9.8667 9.8667 9.5216 Å, 90.00 90.00 120.00°
Space group R-3 (No. 148, hexagonal axes)
Inequivalent atoms, fractional coordinates:
Eu: 0.0473 0.2576 0.1497 [18 per cell]
W: 0.0000 0.0000 0.5000 [3 per cell]
O: 0.0345 0.2255 0.9020 [18 per cell]
O: 0.0421 0.1827 0.3901 [18 per cell]

Results
* energy relative to the elements, uncorrected: -2.82 eV/atom
* DOS at the Fermi energy: 72.5 states/eV/cell
* total magnetic moment: 36.0 μB per formula unit

=====

DFT (PBEsol) results for a relaxed Al2FeRh crystal.

Cell: 2.7766 3.6103 5.2288 Å, 90.00 90.00 90.00°
Space group Pmm2 (No. 25)
Inequivalent atoms, fractional coordinates:
Al: 0.0000 0.0000 0.0000 [1 per cell]
Al: 0.5000 0.5000 0.2958 [1 per cell]
Fe: 0.0000 0.0000 0.5037 [1 per cell]
Rh: 0.5000 0.5000 0.7888 [1 per cell]

Results
* DOS at the Fermi energy: 2.3 states/eV/cell
* total magnetic moment: 1.9 μB per formula unit
* ΔE_f: -1.666 eV per formula unit

=====

DFT (PBEsol) results for a relaxed ZnCu crystal.

Cell: 5.4151 5.4151 5.4151 Å, 90.00 90.00 90.00°
Space group F-43m (No. 216)
Inequivalent atoms, fractional coordinates:
Zn: 0.0000 0.0000 0.0000 [4 per cell]
Cu: 0.2500 0.2500 0.7500 [4 per cell]

Results
* DOS at the Fermi energy: 1.9 states/eV/cell
* total magnetic moment: 0.0 μB per formula unit
* ΔE_f: 1.579 eV per formula unit

=====

DFT (PBEsol) results for a relaxed HfAu9 crystal.

Cell: 9.1512 4.0700 9.2186 Å, 90.00 91.20 90.00°
Space group C2/m (No. 12)
Inequivalent atoms, fractional coordinates:
Hf: 0.0000 0.0000 0.0000 [2 per cell]
Au: 0.0000 0.5000 0.5000 [2 per cell]
Au: 0.0931 0.5000 0.8004 [4 per cell]
Au: 0.1011 0.0000 0.2981 [4 per cell]
Au: 0.2012 0.0000 0.5993 [4 per cell]
Au: 0.2015 0.5000 0.0967 [4 per cell]

Results
* DOS at the Fermi energy: 7.2 states/eV/cell
* total magnetic moment: 0.0 μB per formula unit
* ΔE_f: -2.116 eV per formula unit

=====

Number 1: calculated volume 27.5 Å³/atom, VASP energy -3.361 eV/atom. Number 2: calculated volume 15.6 Å³/atom, VASP energy -4.784 eV/atom. Number 3: calculated volume 21.3 Å³/atom, VASP energy -8.340 eV/atom. Number 4: calculated volume 16.6 Å³/atom, VASP energy -12.335 eV/atom. Number 5: calculated volume 21.0 Å³/atom, VASP energy -5.412 eV/atom. Number 6: calculated volume 16.7 Å³/atom, VASP energy -6.448 eV/atom. Number 7: calculated volume 25.4 Å³/atom, VASP energy -2.641 eV/atom. Number 8: calculated volume 22.2 Å³/atom, VASP energy -3.518 eV/atom. Number 9: calculated volume 18.5 Å³/atom, VASP energy -4.815 eV/atom. Number 10: calculated volume 19.3 Å³/atom, VASP energy -5.701 eV/atom. Number 11: calculated volume 16.2 Å³/atom, VASP energy -7.291 eV/atom. Number 12: calculated volume 14.3 Å³/atom, VASP energy -5.858 eV/atom. Number 13: calculated volume 24.9 Å³/atom, VASP energy -1.097 eV/atom. Number 14: calculated volume 10.0 Å³/atom, VASP energy -5.947 eV/atom. Number 15: calculated volume 21.7 Å³/atom, VASP energy -3.133 eV/atom. Number 16: calculated volume 14.1 Å³/atom, VASP energy -10.199 eV/atom. Number 17: calculated volume 13.1 Å³/atom, VASP energy -6.738 eV/atom. Number 18: calculated volume 19.8 Å³/atom, VASP energy -2.168 eV/atom. Number 19: calculated volume 17.2 Å³/atom, VASP energy -4.794 eV/atom.